#P
Entry from Alexandria via LeMat-Bulk: crystalline ZrPtPb3 at its relaxed geometry (PBE).

```
5
Lattice="5.5834 0.0000 0.0000 0.0000 5.5834 0.0000 0.0000 0.0000 5.5834" Properties=species:S:1:pos:R:3 pbc="T T T"
Zr 0.0000 0.0000 0.0000
Pt 2.7917 2.7917 2.7917
Pb 0.0000 0.0000 2.7917
Pb 0.0000 2.7917 0.0000
Pb 2.7917 0.0000 0.0000
```

Summary:
space-group type: Pm-3m
total magnetic moment: 0.0 μB/cell

***

#Q
Entry from Alexandria via LeMat-Bulk: crystalline ZrPtPb3 at its relaxed geometry (PBE).

```
5
Lattice="5.3614 0.0000 0.0000 0.0000 5.3614 0.0000 0.0000 0.0000 5.3614" Properties=species:S:1:pos:R:3 pbc="T T T"
Zr 0.0000 0.0000 0.0000
Pt 2.6807 2.6807 2.6807
Pb 0.0000 2.6807 2.6807
Pb 2.6807 0.0000 2.6807
Pb 2.6807 2.6807 0.0000
```

Summary:
space-group type: Pm-3m
total magnetic moment: 1.7 μB/cell

***

What is the stability order? It is #Q, #P, from most stable to least stable.

***

#P
Entry from Alexandria via LeMat-Bulk: crystalline Pu3Pb at its relaxed geometry (PBE).

```
4
Lattice="4.7722 0.0000 0.0000 0.0000 4.7722 0.0000 0.0000 0.0000 4.7722" Properties=species:S:1:pos:R:3 pbc="T T T"
Pu 0.0000 0.0000 2.3861
Pu 0.0000 2.3861 0.0000
Pu 2.3861 0.0000 0.0000
Pb 2.3861 2.3861 2.3861
```

Summary:
space-group type: Pm-3m
total magnetic moment: 17.9 μB/cell

***

#Q
Entry from Alexandria via LeMat-Bulk: crystalline Pu3Pb at its relaxed geometry (PBE).

```
4
Lattice="0.0000 3.8114 3.8114 3.8114 0.0000 3.8114 3.8114 3.8114 0.0000" Properties=species:S:1:pos:R:3 pbc="T T T"
Pu 0.0000 0.0000 0.0000
Pu 1.9057 1.9057 1.9057
Pu 5.7171 5.7171 5.7171
Pb 3.8114 3.8114 3.8114
```

Summary:
space-group type: Fm-3m
total magnetic moment: 19.3 μB/cell

***

#R
Entry from Alexandria via LeMat-Bulk: crystalline Pu3Pb at its relaxed geometry (PBE).

```
4
Lattice="-2.2979 2.2979 4.8581 2.2979 -2.2979 4.8581 2.2979 2.2979 -4.8581" Properties=species:S:1:pos:R:3 pbc="T T T"
Pu 0.0000 0.0000 0.0000
Pu 2.2979 0.0000 2.4290
Pu 0.0000 2.2979 2.4290
Pb 0.0000 0.0000 4.8581
```

Summary:
space-group type: I4/mmm
total magnetic moment: 5.7 μB/cell

***

What is the stability order? It is #P, #R, #Q, from most stable to least stable.

***

#P
Entry from Alexandria via LeMat-Bulk: crystalline RbPuPb2 at its relaxed geometry (PBE).

```
4
Lattice="3.5095 0.0000 0.0000 0.0000 3.5095 0.0000 0.0000 0.0000 10.6348" Properties=species:S:1:pos:R:3 pbc="T T T"
Rb 0.0000 0.0000 0.0000
Pu 0.0000 0.0000 5.3174
Pb 1.7547 1.7547 2.9475
Pb 1.7547 1.7547 7.6873
```

Summary:
space-group type: P4/mmm
total magnetic moment: 5.7 μB/cell

***

#Q
Entry from Alexandria via LeMat-Bulk: crystalline RbPuPb2 at its relaxed geometry (PBE).

```
4
Lattice="2.6758 1.5449 6.7282 -2.6758 1.5449 6.7282 0.0000 -3.0898 6.7282" Properties=species:S:1:pos:R:3 pbc="T T T"
Rb 0.0000 0.0000 0.0000
Pu 0.0000 0.0000 10.0923
Pb 0.0000 0.0000 4.2690
Pb 0.0000 0.0000 15.9156
```

Summary:
space-group type: R-3m
total magnetic moment: 6.3 μB/cell

***

What is the stability order? It is #P, #Q, from most stable to least stable.

***

#P
Entry from Alexandria via LeMat-Bulk: crystalline PuSc2Pb at its relaxed geometry (PBE).

```
4
Lattice="3.4108 0.0000 0.0000 0.0000 3.4108 0.0000 0.0000 0.0000 8.4041" Properties=species:S:1:pos:R:3 pbc="T T T"
Pu 0.0000 0.0000 0.0000
Sc 1.7054 1.7054 2.1579
Sc 1.7054 1.7054 6.2462
Pb 0.0000 0.0000 4.2021
```

Summary:
space-group type: P4/mmm
total magnetic moment: 5.6 μB/cell

***

#Q
Entry from Alexandria via LeMat-Bulk: crystalline PuSc2Pb at its relaxed geometry (PBE).

```
4
Lattice="1.6684 0.9633 10.4090 -1.6684 0.9633 10.4090 0.0000 -1.9265 10.4090" Properties=species:S:1:pos:R:3 pbc="T T T"
Pu 0.0000 0.0000 0.0000
Sc 0.0000 0.0000 7.7973
Sc 0.0000 0.0000 23.4297
Pb 0.0000 0.0000 15.6135
```

Summary:
space-group type: R-3m
total magnetic moment: 5.6 μB/cell

***

#R
Entry from Alexandria via LeMat-Bulk: crystalline PuSc2Pb at its relaxed geometry (PBE).

```
4
Lattice="1.6816 0.9709 10.3915 -1.6816 0.9709 10.3915 0.0000 -1.9417 10.3915" Properties=species:S:1:pos:R:3 pbc="T T T"
Pu 0.0000 0.0000 0.0000
Sc 0.0000 0.0000 18.1536
Sc 0.0000 0.0000 23.4191
Pb 0.0000 0.0000 5.1969
```

Summary:
space-group type: R3m
total magnetic moment: 6.2 μB/cell

***

What is the stability order? It is #P, #Q, #R, from most stable to least stable.

***

#P
Entry from Alexandria via LeMat-Bulk: crystalline PuScPb2 at its relaxed geometry (PBE).

```
4
Lattice="3.4208 0.0000 0.0000 0.0000 3.4208 0.0000 0.0000 0.0000 8.9686" Properties=species:S:1:pos:R:3 pbc="T T T"
Pu 0.0000 0.0000 0.0000
Sc 0.0000 0.0000 4.4843
Pb 1.7104 1.7104 2.3731
Pb 1.7104 1.7104 6.5955
```

Summary:
space-group type: P4/mmm
total magnetic moment: 6.5 μB/cell

***

#Q
Entry from Alexandria via LeMat-Bulk: crystalline PuScPb2 at its relaxed geometry (PBE).

```
4
Lattice="2.2988 1.3272 6.7750 -2.2988 1.3272 6.7750 0.0000 -2.6544 6.7750" Properties=species:S:1:pos:R:3 pbc="T T T"
Pu 0.0000 0.0000 0.0000
Sc 0.0000 0.0000 3.5302
Pb 0.0000 0.0000 8.6404
Pb 0.0000 0.0000 11.7700
```

Summary:
space-group type: R3m
total magnetic moment: 5.5 μB/cell

***

#R
Entry from Alexandria via LeMat-Bulk: crystalline PuScPb2 at its relaxed geometry (PBE).

```
4
Lattice="0.0000 3.7620 3.7620 3.7620 0.0000 3.7620 3.7620 3.7620 0.0000" Properties=species:S:1:pos:R:3 pbc="T T T"
Pu 0.0000 0.0000 0.0000
Sc 3.7620 3.7620 3.7620
Pb 1.8810 1.8810 1.8810
Pb 5.6431 5.6431 5.6431
```

Summary:
space-group type: Fm-3m
total magnetic moment: 6.2 μB/cell

***

What is the stability order? It is #P, #R, #Q, from most stable to least stable.

***

#P
Entry from Alexandria via LeMat-Bulk: crystalline Pu2PbSe at its relaxed geometry (PBE).

```
4
Lattice="5.4790 0.0000 0.0000 0.0000 5.4790 0.0000 0.0000 0.0000 3.4329" Properties=species:S:1:pos:R:3 pbc="T T T"
Pu 0.0000 2.7395 0.0000
Pu 2.7395 0.0000 0.0000
Pb 0.0000 0.0000 1.7165
Se 2.7395 2.7395 1.7165
```

Summary:
space-group type: P4/mmm
total magnetic moment: 11.4 μB/cell

***

#Q
Entry from Alexandria via LeMat-Bulk: crystalline Pu2PbSe at its relaxed geometry (PBE).

```
4
Lattice="2.0136 1.1625 8.1686 -2.0136 1.1625 8.1686 0.0000 -2.3251 8.1686" Properties=species:S:1:pos:R:3 pbc="T T T"
Pu 0.0000 0.0000 5.8518
Pu 0.0000 0.0000 18.6539
Pb 0.0000 0.0000 0.0000
Se 0.0000 0.0000 12.2529
```

Summary:
space-group type: R-3m
total magnetic moment: 11.5 μB/cell

***

What is the stability order? It is #Q, #P, from most stable to least stable.

***

#P
Entry from Alexandria via LeMat-Bulk: crystalline SmPuPb at its relaxed geometry (PBE).

```
6
Lattice="5.6003 0.0000 0.0000 -2.8001 4.8500 0.0000 0.0000 0.0000 6.4353" Properties=species:S:1:pos:R:3 pbc="T T T"
Sm 0.0000 3.2333 1.6088
Sm 2.8001 1.6167 4.8265
Pu 0.0000 0.0000 0.0000
Pu 0.0000 0.0000 3.2177
Pb 0.0000 3.2333 4.8265
Pb 2.8001 1.6167 1.6088
```

Summary:
space-group type: P6_3/mmc
total magnetic moment: 13.6 μB/cell

***

#Q
Entry from Alexandria via LeMat-Bulk: crystalline SmPuPb at its relaxed geometry (PBE).

```
3
Lattice="5.4018 0.0000 0.0000 -2.7009 4.6781 0.0000 0.0000 0.0000 3.3585" Properties=species:S:1:pos:R:3 pbc="T T T"
Sm 0.0000 0.0000 0.0000
Pu 2.7009 1.5594 0.0000
Pb 0.0000 3.1188 1.6793
```

Summary:
space-group type: P-6m2
total magnetic moment: 6.8 μB/cell

***

#R
Entry from Alexandria via LeMat-Bulk: crystalline SmPuPb at its relaxed geometry (PBE).

```
3
Lattice="-1.7661 1.7661 7.2785 1.7661 -1.7661 7.2785 1.7661 1.7661 -7.2785" Properties=species:S:1:pos:R:3 pbc="T T T"
Sm 0.0000 0.0000 0.0000
Pu 0.0000 0.0000 4.5851
Pb 0.0000 0.0000 9.5928
```

Summary:
space-group type: I4mm
total magnetic moment: 6.3 μB/cell

***

What is the stability order? It is #P, #R, #Q, from most stable to least stable.

***

#P
Entry from Alexandria via LeMat-Bulk: crystalline PuSnPb at its relaxed geometry (PBE).

```
6
Lattice="6.5717 0.0000 0.0000 0.0000 3.3542 0.0000 0.0000 0.0000 7.7439" Properties=species:S:1:pos:R:3 pbc="T T T"
Pu 0.0000 0.0000 0.0000
Pu 3.2859 0.0000 0.0000
Sn 1.6429 1.6771 2.3130
Sn 4.9288 1.6771 5.4309
Pb 1.6429 1.6771 5.2926
Pb 4.9288 1.6771 2.4512
```

Summary:
space-group type: Pmma
total magnetic moment: 11.8 μB/cell

***

#Q
Entry from Alexandria via LeMat-Bulk: crystalline PuSnPb at its relaxed geometry (PBE).

```
6
Lattice="2.5765 -8.7398 0.0000 2.5765 8.7398 0.0000 0.0000 0.0000 3.4870" Properties=species:S:1:pos:R:3 pbc="T T T"
Pu 2.5765 7.9887 2.6152
Pu 2.5765 -7.9887 0.8717
Sn 2.5765 1.4214 2.6152
Sn 2.5765 -1.4214 0.8717
Pb 2.5765 5.0652 0.8717
Pb 2.5765 -5.0652 2.6152
```

Summary:
space-group type: Cmcm
total magnetic moment: 0.0 μB/cell

***

What is the stability order? It is #P, #Q, from most stable to least stable.